Entry 1:
A geometry-optimized Cs2HfPb structure, computed with GGA-PBE.

a = 8.7756 Å, b = 8.7756 Å, c = 8.7756 Å
α = 90.00°, β = 90.00°, γ = 90.00°
Atoms (fractional coordinates):
1 Cs 0.2500 0.2500 0.2500
2 Cs 0.2500 0.2500 0.7500
3 Cs 0.2500 0.7500 0.2500
4 Cs 0.2500 0.7500 0.7500
5 Cs 0.7500 0.2500 0.2500
6 Cs 0.7500 0.2500 0.7500
7 Cs 0.7500 0.7500 0.2500
8 Cs 0.7500 0.7500 0.7500
9 Hf 0.0000 0.0000 0.0000
10 Hf 0.0000 0.5000 0.5000
11 Hf 0.5000 0.0000 0.5000
12 Hf 0.5000 0.5000 0.0000
13 Pb 0.0000 0.0000 0.5000
14 Pb 0.0000 0.5000 0.0000
15 Pb 0.5000 0.0000 0.0000
16 Pb 0.5000 0.5000 0.5000

Values from the calculation:
Energy relative to the elements in eV/f.u.: 4.6
E_tot in eV/f.u.: -10.8
Magnetic moment in μB per formula unit: 0.00
Space group: No. 225
Energy above the lowest structure with this stoichiometry in meV/atom: 422.1


Entry 2:
A geometry-optimized Cs2HfPb structure, computed with GGA-PBE.

a = 14.5621 Å, b = 14.5621 Å, c = 5.6313 Å
α = 90.00°, β = 90.00°, γ = 90.00°
Atoms (fractional coordinates):
1 Cs 0.0816 0.7500 0.1250
2 Cs 0.2500 0.0816 0.8750
3 Cs 0.2500 0.4184 0.3750
4 Cs 0.4184 0.7500 0.6250
5 Cs 0.5816 0.2500 0.6250
6 Cs 0.7500 0.5816 0.3750
7 Cs 0.7500 0.9184 0.8750
8 Cs 0.9184 0.2500 0.1250
9 Hf 0.0000 0.0000 0.5000
10 Hf 0.0000 0.5000 0.7500
11 Hf 0.5000 0.0000 0.2500
12 Hf 0.5000 0.5000 0.0000
13 Pb 0.0000 0.0000 0.0000
14 Pb 0.0000 0.5000 0.2500
15 Pb 0.5000 0.0000 0.7500
16 Pb 0.5000 0.5000 0.5000

Values from the calculation:
Energy relative to the elements in eV/f.u.: 2.9
E_tot in eV/f.u.: -12.5
Magnetic moment in μB per formula unit: 0.08
Space group: No. 122
Energy above the lowest structure with this stoichiometry in meV/atom: 0.0


Entry 3:
A geometry-optimized CsHfPb3 structure, computed with GGA-PBE.

a = 6.0288 Å, b = 6.0288 Å, c = 6.0288 Å
α = 90.00°, β = 90.00°, γ = 90.00°
Atoms (fractional coordinates):
1 Cs 0.0000 0.0000 0.0000
2 Hf 0.5000 0.5000 0.5000
3 Pb 0.0000 0.0000 0.5000
4 Pb 0.0000 0.5000 0.0000
5 Pb 0.5000 0.0000 0.0000

Values from the calculation:
Energy relative to the elements in eV/f.u.: 9.2
E_tot in eV/f.u.: -12.8
Magnetic moment in μB per formula unit: 0.00
Space group: No. 221
Energy above the lowest structure with this stoichiometry in meV/atom: 1802.0


Entry 4:
A geometry-optimized CsHf2Pb structure, computed with GGA-PBE.

a = 7.3957 Å, b = 7.3957 Å, c = 7.3957 Å
α = 90.00°, β = 90.00°, γ = 90.00°
Atoms (fractional coordinates):
1 Cs 0.0000 0.0000 0.0000
2 Cs 0.0000 0.5000 0.5000
3 Cs 0.5000 0.0000 0.5000
4 Cs 0.5000 0.5000 0.0000
5 Hf 0.2500 0.2500 0.2500
6 Hf 0.2500 0.2500 0.7500
7 Hf 0.2500 0.7500 0.2500
8 Hf 0.2500 0.7500 0.7500
9 Hf 0.7500 0.2500 0.2500
10 Hf 0.7500 0.2500 0.7500
11 Hf 0.7500 0.7500 0.2500
12 Hf 0.7500 0.7500 0.7500
13 Pb 0.0000 0.0000 0.5000
14 Pb 0.0000 0.5000 0.0000
15 Pb 0.5000 0.0000 0.0000
16 Pb 0.5000 0.5000 0.5000

Values from the calculation:
Energy relative to the elements in eV/f.u.: 4.0
E_tot in eV/f.u.: -20.5
Magnetic moment in μB per formula unit: 0.00
Space group: No. 225


Entry 5:
A geometry-optimized CsHfPb3 structure, computed with GGA-PBE.

a = 5.7518 Å, b = 5.7518 Å, c = 5.7518 Å
α = 90.00°, β = 90.00°, γ = 90.00°
Atoms (fractional coordinates):
1 Cs 0.0000 0.0000 0.0000
2 Hf 0.5000 0.5000 0.5000
3 Pb 0.0000 0.5000 0.5000
4 Pb 0.5000 0.0000 0.5000
5 Pb 0.5000 0.5000 0.0000

Values from the calculation:
Energy relative to the elements in eV/f.u.: 0.2
E_tot in eV/f.u.: -21.8
Magnetic moment in μB per formula unit: 0.00
Space group: No. 221
Energy above the lowest structure with this stoichiometry in meV/atom: 0.0


Entry 6:
A geometry-optimized Cs2HfRuPb structure, computed with GGA-PBE.

a = 6.5142 Å, b = 6.5142 Å, c = 5.5730 Å
α = 90.00°, β = 90.00°, γ = 90.00°
Atoms (fractional coordinates):
1 Cs 0.0000 0.5000 0.0000
2 Cs 0.5000 0.0000 0.0000
3 Hf 0.0000 0.0000 0.0000
4 Ru 0.5000 0.5000 0.5000
5 Pb 0.0000 0.0000 0.5000

Values from the calculation:
Energy relative to the elements in eV/f.u.: 9.0
E_tot in eV/f.u.: -15.7
Magnetic moment in μB per formula unit: 5.10
Space group: No. 123